(1)
The following is a DFT calculation (PBE) of Mn4P after structural relaxation.

Cell: 4.2906 4.2906 4.2906 Å, 99.52 99.52 132.01°
With the nearest neighbours (Å) after each atom.
Sites, in units of the cell vectors:
Mn1 0.8003 0.3995 0.1997  9 Mn 2.47-2.48, 3 P 2.48
Mn2 0.3995 0.1997 0.5992  9 Mn 2.47-2.48, 3 P 2.48
Mn3 0.1997 0.6005 0.8003  9 Mn 2.47-2.48, 3 P 2.48
Mn4 0.6005 0.8003 0.4008  9 Mn 2.47-2.48, 3 P 2.48
P1 0.0000 0.0000 0.0000  12 Mn 2.48

Calculated values
The calculation puts the total magnetic moment at 2.53 μB per formula unit. Its total DFT energy (no corrections) is -8.544 eV/atom. Its space-group type is No. 87. Its calculated formation energy is -0.127 eV/atom.

(2)
The following is a DFT calculation (PBE) of Zr3Al after structural relaxation.

Cell: 5.7698 5.7698 5.7698 Å, 116.95 116.95 116.95°
With the nearest neighbours (Å) after each atom.
Sites, in units of the cell vectors:
Al1 0.0000 0.0000 0.0000  6 Zr 3.02, 2 Al 3.06
Zr1 0.5000 0.0000 0.5000  2 Al 3.02, 6 Zr 3.02-3.06
Zr2 0.5000 0.5000 0.0000  6 Zr 3.02-3.06, 2 Al 3.02
Zr3 0.0000 0.5000 0.5000  6 Zr 3.02-3.06, 2 Al 3.02

Calculated values
The calculation puts the total magnetic moment at 0.00 μB per formula unit. Its total DFT energy (no corrections) is -7.465 eV/atom. Its space-group type is No. 166. Its calculated formation energy is -0.118 eV/atom.

(3)
The following is a DFT calculation (PBE) of Ba2Ge2Pb after structural relaxation.

Cell: 8.0760 8.0760 5.0693 Å, 90.00 90.00 90.00°
With the nearest neighbours (Å) after each atom.
Sites, in units of the cell vectors:
Pb1 0.0000 0.0000 0.0000  4 Ge 3.27
Pb2 0.5000 0.5000 0.0000  4 Ge 3.27
Ge1 0.3900 0.8900 0.0000  1 Ge 2.51
Ge2 0.8900 0.6100 0.0000  1 Ge 2.51
Ge3 0.6100 0.1100 0.0000  1 Ge 2.51
Ge4 0.1100 0.3900 0.0000  1 Ge 2.51
Ba1 0.1817 0.6817 0.5000  6 Ge 3.48-3.51
Ba2 0.6817 0.8183 0.5000  6 Ge 3.48-3.51
Ba3 0.8183 0.3183 0.5000  6 Ge 3.48-3.51
Ba4 0.3183 0.1817 0.5000  6 Ge 3.48-3.51

Calculated values
The calculation puts the total magnetic moment at 0.00 μB per formula unit. Its total DFT energy (no corrections) is -3.858 eV/atom. Its space-group type is No. 127. Its calculated formation energy is -0.500 eV/atom.

(4)
The following is a DFT calculation (PBE) of K3Er3ScS8 after structural relaxation.

Cell: 7.8566 7.8600 8.7768 Å, 116.64 90.01 119.98°
With the nearest neighbours (Å) after each atom.
Sites, in units of the cell vectors:
K1 0.0000 0.0000 0.0000  6 S 3.19-3.21
K2 0.0000 0.5000 0.0000  6 S 3.19-3.21
K3 0.5000 0.5000 0.0000  6 S 3.19-3.21
Er1 0.5000 0.0000 0.5000  6 S 2.72-2.73
Er2 0.5000 0.5000 0.5000  6 S 2.72
Er3 0.0000 0.5000 0.5000  6 S 2.72-2.73
Sc1 0.0000 0.0000 0.5000  6 S 2.63
S1 0.2663 0.5326 0.2990  3 Er 2.72-2.73
S2 0.7337 0.4674 0.7010  3 Er 2.72-2.73
S3 0.7746 0.5492 0.3079  1 Sc 2.63, 2 Er 2.72
S4 0.2254 0.4508 0.6921  1 Sc 2.63, 2 Er 2.72
S5 0.7746 0.0331 0.3079  1 Sc 2.63, 2 Er 2.72
S6 0.2254 0.9669 0.6921  1 Sc 2.63, 2 Er 2.72
S7 0.2585 0.0331 0.3079  1 Sc 2.63, 2 Er 2.72
S8 0.7415 0.9669 0.6921  1 Sc 2.63, 2 Er 2.72

Calculated values
The calculation puts the energy relative to the elements, uncorrected at -1767 meV/atom. The calculation puts the total magnetic moment at 0.00 μB per formula unit. Its total DFT energy (no corrections) is -5.522 eV/atom. Its space-group type is No. 166.

(5)
The following is a DFT calculation (PBE) of CeSm2Tl after structural relaxation.

Cell: 3.6458 3.6458 9.0315 Å, 90.00 90.00 90.00°
With the nearest neighbours (Å) after each atom.
Sites, in units of the cell vectors:
Tl1 0.5000 0.5000 0.0000  8 Sm 3.35, 4 Tl 3.65
Ce1 0.5000 0.5000 0.5000  8 Sm 3.50, 4 Ce 3.65
Sm1 0.0000 0.0000 0.7626  4 Tl 3.35, 4 Ce 3.50, 4 Sm 3.65
Sm2 0.0000 0.0000 0.2374  4 Tl 3.35, 4 Ce 3.50, 4 Sm 3.65

Calculated values
The calculation puts the total magnetic moment at 0.36 μB per formula unit. Its total DFT energy (no corrections) is -4.571 eV/atom. Its space-group type is No. 123. Its calculated formation energy is -0.136 eV/atom.

(6)
The following is a DFT calculation (PBE) of Ce5TmP6 after structural relaxation.

Cell: 7.0436 7.0451 7.0449 Å, 60.00 80.40 70.51°
With the nearest neighbours (Å) after each atom.
Sites, in units of the cell vectors:
P1 0.7534 0.0821 0.3295  1 Tm 2.84, 5 Ce 2.88-2.90
P2 0.2466 0.5885 0.3295  1 Tm 2.84, 5 Ce 2.88-2.90
P3 0.2481 0.2466 0.0000  1 Tm 2.85, 5 Ce 2.88-2.91
P4 0.7519 0.7534 0.0000  1 Tm 2.85, 5 Ce 2.88-2.91
P5 0.7534 0.4115 0.6705  1 Tm 2.84, 5 Ce 2.88-2.90
P6 0.2466 0.9179 0.6705  1 Tm 2.84, 5 Ce 2.88-2.90
Tm1 0.0000 0.0000 0.0000  6 P 2.84-2.85
Ce1 0.5000 0.1675 0.6651  6 P 2.88-2.90
Ce2 0.0000 0.3336 0.3328  6 P 2.88
Ce3 0.5000 0.5000 0.0000  6 P 2.88-2.91
Ce4 0.0000 0.6664 0.6672  6 P 2.88
Ce5 0.5000 0.8325 0.3349  6 P 2.88-2.90

Calculated values
The calculation puts the total magnetic moment at 2.94 μB per formula unit. Its total DFT energy (no corrections) is -7.059 eV/atom. Its space-group type is No. 12. Its calculated formation energy is -1.509 eV/atom.

Which value of total magnetic moment does entry 6 give?
2.94 μB per formula unit